(1)
! Sc2TaPb (PBE-GGA, optimized geometry); values from VASP
! Fermi-level density of states	6.26	states/eV per cell
! total magnetic moment	0.000	μB/cell
! V	22.154	A^3/atom
! ΔE_f	-0.019	eV per atom
! E	-28.3	eV/f.u.
&SYSTEM
  ibrav = 0, nat = 4, ntyp = 3
/
ATOMIC_SPECIES
Sc 44.96 Sc.upf
Ta 180.95 Ta.upf
Pb 207.20 Pb.upf
ATOMIC_POSITIONS crystal
Sc 0.0000 0.0000 0.0167
Sc 0.0000 0.0000 0.4833
Ta 0.5000 0.5000 0.2500
Pb 0.5000 0.5000 0.7500
CELL_PARAMETERS angstrom
-2.5843 -1.5831 -1.7874
1.6732 -3.0798 0.3086
-3.4652 -1.2682 6.1334

(2)
! Ho4PaBi5 (PBE-GGA, optimized geometry); values from VASP
! Fermi-level density of states	7.92	states/eV per cell
! total magnetic moment	0.896	μB/cell
! V	31.452	A^3/atom
! ΔE_f	-0.675	eV per atom
! E	-54.0	eV/f.u.
&SYSTEM
  ibrav = 0, nat = 10, ntyp = 3
/
ATOMIC_SPECIES
Ho 164.93 Ho.upf
Bi 208.98 Bi.upf
Pa 231.04 Pa.upf
ATOMIC_POSITIONS crystal
Ho 0.2002 0.2006 0.4008
Ho 0.4008 0.4008 0.7994
Ho 0.6010 0.5992 0.2006
Ho 0.8017 0.7994 0.5992
Bi 0.1005 0.6005 0.2005
Bi 0.5013 0.0000 0.0000
Bi 0.3010 0.7995 0.6005
Bi 0.9015 0.3995 0.7995
Bi 0.7010 0.2005 0.3995
Pa 0.0013 0.0000 0.0000
CELL_PARAMETERS angstrom
-2.1638 5.7330 1.5592
-2.1321 0.6699 7.3989
5.4614 4.8727 2.4835

(3)
! Cu2PdPt (PBE-GGA, optimized geometry); values from VASP
! Fermi-level density of states	5.55	states/eV per cell
! total magnetic moment	0.000	μB/cell
! V	13.798	A^3/atom
! ΔE_f	-0.119	eV per atom
! E	-19.9	eV/f.u.
&SYSTEM
  ibrav = 0, nat = 4, ntyp = 3
/
ATOMIC_SPECIES
Pt 195.08 Pt.upf
Pd 106.42 Pd.upf
Cu 63.55 Cu.upf
ATOMIC_POSITIONS crystal
Pt 0.5000 0.5000 0.0000
Pd 0.5000 0.5000 0.5000
Cu 0.0000 0.0000 0.2506
Cu 0.0000 0.0000 0.7494
CELL_PARAMETERS angstrom
-2.5536 -0.0476 -1.4796
0.7148 -2.6231 -1.1492
-2.7821 -2.9028 4.8952

(4)
! LaGeTe2I (PBE-GGA, optimized geometry); values from VASP
! distance to the lowest polymorph of the same formula	0.3331	eV per atom
! Fermi-level density of states	3.27	states/eV per cell
! uncorrected formation energy	-0.092	eV per atom
! total magnetic moment	0.000	μB/cell
! V	46.706	A^3/atom
! E	-17.8	eV/f.u.
&SYSTEM
  ibrav = 0, nat = 5, ntyp = 4
/
ATOMIC_SPECIES
Te 127.60 Te.upf
I 126.90 I.upf
La 138.91 La.upf
Ge 72.64 Ge.upf
ATOMIC_POSITIONS crystal
Te 0.5000 0.0000 0.0000
Te 0.0000 0.5000 0.0000
I 0.0000 0.0000 0.5000
La 0.0000 0.0000 0.0000
Ge 0.5000 0.5000 0.5000
CELL_PARAMETERS angstrom
-4.2712 3.8419 -2.3499
-4.3717 -4.3150 0.8914
-1.0565 2.2154 5.5425